Crystalline CrRe2 at its relaxed geometry. Source: Alexandria via LeMat-Bulk, functional PBE.

```
6
Lattice="1.4689 4.7802 0.0025 -1.4689 4.7802 0.0025 0.0000 1.9343 5.9991" Properties=species:S:1:pos:R:3 pbc="T T T"
Cr 0.0000 9.5478 0.3306
Cr 0.0000 3.7079 2.1165
Re 0.0000 6.5522 1.4760
Re 0.0000 10.0938 3.3728
Re 0.0000 7.5003 4.2197
Re 0.0000 4.7262 5.5015
```

## Properties
N(E_F)   6.8 states/eV per cell
Energy of formation   0.12 eV/atom
Electronic total energy   -34.15 eV per formula unit
Total magnetic moment   0.00 μB per cell